1.
Compound: PrPu2Th3Se6
Source: Alexandria
Functional: PBE
Structure: optimized geometry

Unit cell a=7.1937 b=7.1937 c=7.3594 alpha=99.37 beta=99.37 gamma=119.95
Last column: magnetic moment on the atom in μB.
Sites, in units of the cell vectors:
Se1 0.9175 0.5773 0.7536  -0.03
Th1 0.1618 0.8382 0.5000  -0.01
Pu1 0.3325 0.6675 0.0000  5.41
Pu2 0.6675 0.3325 0.0000  5.41
Se2 0.4227 0.0825 0.2464  -0.03
Pr1 0.0000 0.0000 0.0000  0.02
Th2 0.5000 0.5000 0.5000  0.00
Se3 0.7391 0.7391 0.2399  -0.03
Th3 0.8382 0.1618 0.5000  -0.01
Se4 0.2609 0.2609 0.7601  -0.03
Se5 0.0825 0.4227 0.2464  -0.03
Se6 0.5773 0.9175 0.7536  -0.03

Summary:
space group	C2/m
energy relative to the elements, uncorrected	-153.89	kJ per mole of atoms

2.
Compound: PrTm2PuSe4
Source: Alexandria
Functional: PBE
Structure: optimized geometry

Unit cell a=4.0702 b=7.0966 c=7.1949 alpha=108.87 beta=90.00 gamma=90.00
Last column: magnetic moment on the atom in μB.
Sites, in units of the cell vectors:
Pu1 0.5000 0.5000 0.0000  5.52
Pr1 0.0000 0.0000 0.0000  0.05
Tm1 0.5000 0.0000 0.5000  -0.03
Tm2 0.0000 0.5000 0.5000  0.05
Se1 0.0000 0.2492 0.7354  -0.02
Se2 0.5000 0.7397 0.7319  -0.01
Se3 0.0000 0.7508 0.2646  -0.02
Se4 0.5000 0.2603 0.2681  -0.01

Summary:
space group	P2/m
energy relative to the elements, uncorrected	-163.92	kJ per mole of atoms

Repeat the first record exactly.
Compound: PrPu2Th3Se6
Source: Alexandria
Functional: PBE
Structure: optimized geometry

Unit cell a=7.1937 b=7.1937 c=7.3594 alpha=99.37 beta=99.37 gamma=119.95
Last column: magnetic moment on the atom in μB.
Sites, in units of the cell vectors:
Se1 0.9175 0.5773 0.7536  -0.03
Th1 0.1618 0.8382 0.5000  -0.01
Pu1 0.3325 0.6675 0.0000  5.41
Pu2 0.6675 0.3325 0.0000  5.41
Se2 0.4227 0.0825 0.2464  -0.03
Pr1 0.0000 0.0000 0.0000  0.02
Th2 0.5000 0.5000 0.5000  0.00
Se3 0.7391 0.7391 0.2399  -0.03
Th3 0.8382 0.1618 0.5000  -0.01
Se4 0.2609 0.2609 0.7601  -0.03
Se5 0.0825 0.4227 0.2464  -0.03
Se6 0.5773 0.9175 0.7536  -0.03

Summary:
space group	C2/m
energy relative to the elements, uncorrected	-153.89	kJ per mole of atoms

- Which of these has the highest energy relative to the elements, uncorrected?
  PrPu2Th3Se6

Repeat the second record exactly.
Compound: PrTm2PuSe4
Source: Alexandria
Functional: PBE
Structure: optimized geometry

Unit cell a=4.0702 b=7.0966 c=7.1949 alpha=108.87 beta=90.00 gamma=90.00
Last column: magnetic moment on the atom in μB.
Sites, in units of the cell vectors:
Pu1 0.5000 0.5000 0.0000  5.52
Pr1 0.0000 0.0000 0.0000  0.05
Tm1 0.5000 0.0000 0.5000  -0.03
Tm2 0.0000 0.5000 0.5000  0.05
Se1 0.0000 0.2492 0.7354  -0.02
Se2 0.5000 0.7397 0.7319  -0.01
Se3 0.0000 0.7508 0.2646  -0.02
Se4 0.5000 0.2603 0.2681  -0.01

Summary:
space group	P2/m
energy relative to the elements, uncorrected	-163.92	kJ per mole of atoms